1.
DFT (PBE) results for crystalline YAlOs2 at its relaxed geometry.

Summary:
**Total magnetization**: 0.00 μB per atom
**Space group**: Imm2

abc: 5.5583 5.5583 5.5583
angles: 147.48 131.59 59.54
With the nearest neighbours (Å) after each atom.
Atoms (fractional coordinates):
Y1 0.5042 0.5042 0.0000  6 Os 2.76-3.02
Os1 0.9983 0.9983 0.0000  2 Os 2.68, 2 Al 2.69, 4 Y 2.76
Os2 0.7719 0.2719 0.5000  2 Os 2.68, 4 Al 2.80
Al1 0.2256 0.7256 0.5000  6 Os 2.69-2.80

---

2.
DFT (PBE) results for crystalline YAlOs2 at its relaxed geometry.

Summary:
**Total magnetization**: 0.00 μB per atom
**Space group**: Pmmm

abc: 3.2004 4.8850 4.3564
angles: 90.00 90.00 90.00
With the nearest neighbours (Å) after each atom.
Atoms (fractional coordinates):
Os1 0.5000 0.5000 0.0000  4 Al 2.70, 4 Os 2.92
Os2 0.0000 0.0000 0.0000  4 Y 2.70, 4 Os 2.92
Y1 0.5000 0.0000 0.5000  4 Os 2.70, 4 Al 2.92
Al1 0.0000 0.5000 0.5000  4 Os 2.70, 4 Y 2.92

---

3.
DFT (PBE) results for crystalline YAlOs3 at its relaxed geometry.

Summary:
**Total magnetization**: 0.00 μB per atom
**Space group**: Pm-3m
**Relative energy among the computed polymorphs**: 0 meV/atom

abc: 4.5220 4.5220 4.5220
angles: 90.00 90.00 90.00
With the nearest neighbours (Å) after each atom.
Atoms (fractional coordinates):
Y1 0.5000 0.5000 0.5000  12 Os 3.20
Os1 0.5000 0.0000 0.0000  2 Al 2.26
Os2 0.0000 0.5000 0.0000  2 Al 2.26
Os3 0.0000 0.0000 0.5000  2 Al 2.26
Al1 0.0000 0.0000 0.0000  6 Os 2.26

---

4.
DFT (PBE) results for crystalline YAlOs2 at its relaxed geometry.

Summary:
**Total magnetization**: 0.00 μB per atom
**Space group**: Cmmm

abc: 2.9166 2.9166 8.4675
angles: 90.00 90.00 111.49
With the nearest neighbours (Å) after each atom.
Atoms (fractional coordinates):
Os1 0.0000 0.0000 0.5254  2 Al 2.51
Os2 0.0000 0.0000 0.9746  2 Al 2.51
Y1 0.5000 0.5000 0.2500  4 Os 2.85, 4 Y 2.92
Al1 0.5000 0.5000 0.7500  4 Os 2.51

---

5.
DFT (PBE) results for crystalline Y3Al3Os2 at its relaxed geometry.

Summary:
**Total magnetization**: 0.00 μB per atom
**Space group**: Pnma

abc: 5.7746 7.6904 15.2877
angles: 90.00 90.00 90.00
With the nearest neighbours (Å) after each atom.
Atoms (fractional coordinates):
Al1 0.9014 0.8361 0.0349  3 Os 2.51-2.53
Al2 0.5986 0.3361 0.0349  3 Os 2.51-2.53
Al3 0.4014 0.6639 0.5349  3 Os 2.51-2.53
Al4 0.9014 0.8361 0.4651  3 Os 2.51-2.53
Al5 0.8846 0.8305 0.7500  2 Os 2.60
Al6 0.1154 0.1695 0.2500  2 Os 2.60
Al7 0.0986 0.1639 0.9651  3 Os 2.51-2.53
Al8 0.6154 0.3305 0.7500  2 Os 2.60
Al9 0.5986 0.3361 0.4651  3 Os 2.51-2.53
Al10 0.4014 0.6639 0.9651  3 Os 2.51-2.53
Al11 0.0986 0.1639 0.5349  3 Os 2.51-2.53
Al12 0.3846 0.6695 0.2500  2 Os 2.60
Os1 0.3769 0.3688 0.8931  4 Al 2.51-2.60
Os2 0.3769 0.3688 0.6069  4 Al 2.51-2.60
Os3 0.8769 0.1312 0.3931  4 Al 2.51-2.60
Os4 0.1231 0.8688 0.6069  4 Al 2.51-2.60
Os5 0.8769 0.1312 0.1069  4 Al 2.51-2.60
Os6 0.6231 0.6312 0.1069  4 Al 2.51-2.60
Os7 0.6231 0.6312 0.3931  4 Al 2.51-2.60
Os8 0.1231 0.8688 0.8931  4 Al 2.51-2.60
Y1 0.6332 0.3260 0.2500  4 Os 3.00-3.21, 5 Al 3.01-3.29
Y2 0.8931 0.5360 0.8920  2 Os 2.88-3.08, 5 Al 3.13-3.21
Y3 0.1332 0.1740 0.7500  4 Os 3.00-3.21, 5 Al 3.01-3.29
Y4 0.8668 0.8260 0.2500  4 Os 3.00-3.21, 5 Al 3.01-3.29
Y5 0.1069 0.4640 0.1080  2 Os 2.88-3.08, 5 Al 3.13-3.21
Y6 0.3668 0.6740 0.7500  4 Os 3.00-3.21, 5 Al 3.01-3.29
Y7 0.3931 0.9640 0.3920  2 Os 2.88-3.08, 5 Al 3.13-3.21
Y8 0.1069 0.4640 0.3920  2 Os 2.88-3.08, 5 Al 3.13-3.21
Y9 0.6069 0.0360 0.6080  2 Os 2.88-3.08, 5 Al 3.13-3.21
Y10 0.3931 0.9640 0.1080  2 Os 2.88-3.08, 5 Al 3.13-3.21
Y11 0.8931 0.5360 0.6080  2 Os 2.88-3.08, 5 Al 3.13-3.21
Y12 0.6069 0.0360 0.8920  2 Os 2.88-3.08, 5 Al 3.13-3.21

---

6.
DFT (PBE) results for crystalline Y3Al3Os at its relaxed geometry.

Summary:
**Total magnetization**: 0.00 μB per atom
**Space group**: C2/m

abc: 3.9563 5.9196 14.7088
angles: 82.93 82.27 70.48
With the nearest neighbours (Å) after each atom.
Atoms (fractional coordinates):
Y1 0.5174 0.3502 0.6151  3 Os 3.08-3.23, 7 Al 3.10-3.40
Y2 0.4826 0.6498 0.3849  3 Os 3.08-3.23, 7 Al 3.10-3.40
Y3 0.7399 0.7595 0.7607  2 Os 2.88, 4 Al 3.08-3.22
Y4 0.2601 0.2405 0.2393  2 Os 2.88, 4 Al 3.08-3.22
Y5 0.3804 0.3178 0.9213  7 Al 3.10-3.16
Y6 0.6196 0.6822 0.0787  7 Al 3.10-3.16
Os1 0.7765 0.0734 0.3737  4 Al 2.51-2.63
Os2 0.2235 0.9266 0.6263  4 Al 2.51-2.63
Al1 0.9006 0.1242 0.0746  2 Al 2.67-2.70
Al2 0.0994 0.8758 0.9254  2 Al 2.67-2.70
Al3 0.1739 0.1854 0.4667  3 Os 2.51-2.63
Al4 0.9751 0.8209 0.2289  1 Os 2.63, 1 Al 2.70
Al5 0.0249 0.1791 0.7711  1 Os 2.63, 1 Al 2.70
Al6 0.8261 0.8146 0.5333  3 Os 2.51-2.63

---

DFT total energy per entry: -8.2259 -7.9924 -7.9621 -7.9996 -7.0990 -6.4124 eV per atom
Energy of formation from the pure elements per entry: -59 174 817 167 -464 -434 meV/atom